Computed, not measured: a relaxed structure of Li2MoW at the PBE level of DFT.

Cell: 2.942 4.281 4.952 Å, 90.00 90.00 90.00°
Space group Pmmm (No. 47)
Symmetry-distinct sites (fractional):
Li 0.000 0.000 0.000
Li 0.500 0.500 0.000
Mo 0.000 0.500 0.500
W 0.500 0.000 0.500

Results
VASP energy, eV per atom: -6.457
DOS(E_F), states/eV per cell: 2.57
Formation energy, meV per atom: 445.7
Energy above the most stable polymorph in this dataset, meV per atom: 210
Magnetic moment, Bohr magnetons per cell: 0.00


Computed, not measured: a relaxed structure of LiSmHfGa at the PBE level of DFT.

Cell: 6.969 6.969 6.969 Å, 90.00 90.00 90.00°
Space group F-43m (No. 216)
Symmetry-distinct sites (fractional):
Li 0.000 0.000 0.000
Sm 0.250 0.250 0.750
Hf 0.250 0.250 0.250
Ga 0.000 0.000 0.500

Results
VASP energy, eV per atom: -5.031
DOS(E_F), states/eV per cell: 11.78
Formation energy, meV per atom: -128.1
Magnetic moment, Bohr magnetons per cell: 0.00


Computed, not measured: a relaxed structure of Ta2BeO at the PBE level of DFT.

Cell: 5.849 5.849 5.849 Å, 90.00 90.00 90.00°
Space group Fm-3m (No. 225)
Symmetry-distinct sites (fractional):
Ta 0.250 0.250 0.250
Be 0.000 0.000 0.000
O 0.000 0.000 0.500

Results
VASP energy, eV per atom: -8.135
DOS(E_F), states/eV per cell: 8.30
Energy relative to the elements, uncorrected, eV/f.u.: -0.151
Energy above the most stable polymorph in this dataset, meV per atom: 41
Magnetic moment, Bohr magnetons per cell: 0.00


Computed, not measured: a relaxed structure of SmErTm2Se6 at the PBE level of DFT.

Cell: 7.1832 7.1832 19.3580 Å, 90.00 90.00 120.00°
Space group R3 (No. 146, hexagonal axes)
Symmetry-distinct sites (fractional):
Sm 0.0000 0.0000 0.0000
Er 0.0000 0.0000 0.4964
Tm 0.0000 0.0000 0.3007
Tm 0.0000 0.0000 0.8030
Se 0.0052 0.3111 0.8970
Se 0.0167 0.7076 0.3979

Results
VASP energy, eV per atom: -5.753
DOS(E_F), states/eV per cell: 0.00
Energy relative to the elements, uncorrected, eV/f.u.: -18.393
Magnetic moment, Bohr magnetons per cell: 0.00


Computed, not measured: a relaxed structure of ErAlInAu at the PBE level of DFT.

Cell: 6.985 6.985 6.985 Å, 90.00 90.00 90.00°
Space group F-43m (No. 216)
Symmetry-distinct sites (fractional):
Er 0.000 0.000 0.000
Al 0.000 0.000 0.500
In 0.250 0.250 0.750
Au 0.250 0.250 0.250

Results
VASP energy, eV per atom: -3.987
DOS(E_F), states/eV per cell: 1.44
Formation energy, meV per atom: -406.6
Magnetic moment, Bohr magnetons per cell: 0.00


Computed, not measured: a relaxed structure of KNaEr2F8 at the PBE level of DFT.

Cell: 5.917 3.829 7.638 Å, 90.00 90.05 90.00°
Space group P2/m (No. 10)
Symmetry-distinct sites (fractional):
K 0.000 0.000 0.000
Na 0.000 0.000 0.500
Er 0.500 0.500 0.254
F 0.280 0.500 0.500
F 0.287 0.000 0.740
F 0.288 0.000 0.259
F 0.294 0.500 0.000

Results
VASP energy, eV per atom: -5.913
DOS(E_F), states/eV per cell: 0.00
Energy relative to the elements, uncorrected, eV/f.u.: -44.446
Magnetic moment, Bohr magnetons per cell: 0.00


Computed, not measured: a relaxed structure of Zn2In2Cl7 at the PBE level of DFT.

Cell: 9.509 11.858 6.218 Å, 90.00 100.84 90.00°
Space group C2/m (No. 12)
Symmetry-distinct sites (fractional):
Zn 0.228 0.000 0.411
In 0.000 0.303 0.000
Cl 0.000 0.000 0.500
Cl 0.111 0.500 0.262
Cl 0.249 0.162 0.220

Results
VASP energy, eV per atom: -2.862
DOS(E_F), states/eV per cell: 7.84
Energy relative to the elements, uncorrected, eV/f.u.: -10.529
Magnetic moment, Bohr magnetons per cell: 0.00


Computed, not measured: a relaxed structure of PuBr3F at the PBE level of DFT.

Cell: 7.992 10.182 12.746 Å, 90.00 97.47 90.00°
Space group P2/c (No. 13)
Symmetry-distinct sites (fractional):
Pu 0.087 0.141 0.122
Br 0.066 0.137 0.595
Br 0.089 0.401 0.113
Br 0.403 0.135 0.076
F 0.150 0.135 0.300

Results
VASP energy, eV per atom: -6.013
DOS(E_F), states/eV per cell: 36.17
Energy relative to the elements, uncorrected, eV/f.u.: -8.842
Energy above the most stable polymorph in this dataset, meV per atom: 5
Magnetic moment, Bohr magnetons per cell: 16.00


Computed, not measured: a relaxed structure of LaTbSm at the PBE level of DFT.

Cell: 3.659 3.659 15.420 Å, 90.00 90.00 90.00°
Space group I4mm (No. 107)
Symmetry-distinct sites (fractional):
La 0.000 0.000 0.000
Tb 0.000 0.000 0.332
Sm 0.000 0.000 0.671

Results
VASP energy, eV per atom: -4.734
DOS(E_F), states/eV per cell: 9.55
Formation energy, meV per atom: 25.1
Energy above the most stable polymorph in this dataset, meV per atom: 7
Magnetic moment, Bohr magnetons per cell: 0.00


Computed, not measured: a relaxed structure of BeHg at the PBE level of DFT.

Cell: 4.1188 4.1188 4.4861 Å, 90.00 90.00 120.00°
Space group P6_3/mmc (No. 194)
Symmetry-distinct sites (fractional):
Be 0.0000 0.0000 0.0000
Hg 0.3333 0.6667 0.2500

Results
VASP energy, eV per atom: -1.645
DOS(E_F), states/eV per cell: 1.88
Formation energy, meV per atom: 368.8
Energy above the most stable polymorph in this dataset, meV per atom: 74
Magnetic moment, Bohr magnetons per cell: 0.00


Computed, not measured: a relaxed structure of LiSiPd3 at the PBE level of DFT.

Cell: 4.209 4.209 4.209 Å, 90.00 90.00 90.00°
Space group Pm-3m (No. 221)
Symmetry-distinct sites (fractional):
Li 0.000 0.000 0.000
Si 0.500 0.500 0.500
Pd 0.000 0.000 0.500

Results
VASP energy, eV per atom: -4.311
DOS(E_F), states/eV per cell: 3.96
Energy relative to the elements, uncorrected, eV/f.u.: 1.358
Energy above the most stable polymorph in this dataset, meV per atom: 891
Magnetic moment, Bohr magnetons per cell: 0.00


Computed, not measured: a relaxed structure of YTi3Ge at the PBE level of DFT.

Cell: 4.840 4.840 4.840 Å, 90.00 90.00 90.00°
Space group Pm-3m (No. 221)
Symmetry-distinct sites (fractional):
Y 0.000 0.000 0.000
Ti 0.000 0.500 0.500
Ge 0.500 0.500 0.500

Results
VASP energy, eV per atom: -6.691
DOS(E_F), states/eV per cell: 10.34
Formation energy, meV per atom: 262.3
Energy above the most stable polymorph in this dataset, meV per atom: 0
Magnetic moment, Bohr magnetons per cell: 0.00